[1]
Computed, not measured: a geometry-optimized GdHoSnHg structure at the GGA-PBE level of DFT.

DFT formation energy	-0.574	eV/atom

CIF file:
```
data_GdHoSnHg
_symmetry_space_group_name_H-M 'F -4 3 m'
_symmetry_Int_Tables_number 216
_symmetry_space_group_name_Hall 'F -4 2 3'
_cell_length_a 7.500
_cell_length_b 7.500
_cell_length_c 7.500
_cell_angle_alpha 90.00
_cell_angle_beta 90.00
_cell_angle_gamma 90.00
loop_
_atom_site_label
_atom_site_type_symbol
_atom_site_fract_x
_atom_site_fract_y
_atom_site_fract_z
Gd1 Gd 0.000 0.000 0.000
Ho1 Ho 0.000 0.000 0.500
Sn1 Sn 0.250 0.250 0.250
Hg1 Hg 0.250 0.250 0.750
```

=====

[2]
Computed, not measured: a geometry-optimized GdHoTcHg structure at the GGA-PBE level of DFT.

DFT formation energy	-0.143	eV/atom

CIF file:
```
data_GdHoTcHg
_symmetry_space_group_name_H-M 'F -4 3 m'
_symmetry_Int_Tables_number 216
_symmetry_space_group_name_Hall 'F -4 2 3'
_cell_length_a 7.139
_cell_length_b 7.139
_cell_length_c 7.139
_cell_angle_alpha 90.00
_cell_angle_beta 90.00
_cell_angle_gamma 90.00
loop_
_atom_site_label
_atom_site_type_symbol
_atom_site_fract_x
_atom_site_fract_y
_atom_site_fract_z
Gd1 Gd 0.000 0.000 0.000
Ho1 Ho 0.000 0.000 0.500
Tc1 Tc 0.250 0.250 0.750
Hg1 Hg 0.250 0.250 0.250
```

=====

[3]
Computed, not measured: a geometry-optimized GdHoTlHg structure at the GGA-PBE level of DFT.

DFT formation energy	-0.429	eV/atom

CIF file:
```
data_GdHoTlHg
_symmetry_space_group_name_H-M 'F -4 3 m'
_symmetry_Int_Tables_number 216
_symmetry_space_group_name_Hall 'F -4 2 3'
_cell_length_a 7.530
_cell_length_b 7.530
_cell_length_c 7.530
_cell_angle_alpha 90.00
_cell_angle_beta 90.00
_cell_angle_gamma 90.00
loop_
_atom_site_label
_atom_site_type_symbol
_atom_site_fract_x
_atom_site_fract_y
_atom_site_fract_z
Gd1 Gd 0.000 0.000 0.000
Ho1 Ho 0.000 0.000 0.500
Tl1 Tl 0.250 0.250 0.250
Hg1 Hg 0.250 0.250 0.750
```

=====

[4]
Computed, not measured: a geometry-optimized GdHoZnHg structure at the GGA-PBE level of DFT.

DFT formation energy	-0.403	eV/atom

CIF file:
```
data_GdHoZnHg
_symmetry_space_group_name_H-M 'F -4 3 m'
_symmetry_Int_Tables_number 216
_symmetry_space_group_name_Hall 'F -4 2 3'
_cell_length_a 7.332
_cell_length_b 7.332
_cell_length_c 7.332
_cell_angle_alpha 90.00
_cell_angle_beta 90.00
_cell_angle_gamma 90.00
loop_
_atom_site_label
_atom_site_type_symbol
_atom_site_fract_x
_atom_site_fract_y
_atom_site_fract_z
Gd1 Gd 0.000 0.000 0.000
Ho1 Ho 0.000 0.000 0.500
Zn1 Zn 0.250 0.250 0.750
Hg1 Hg 0.250 0.250 0.250
```

=====

[5]
Computed, not measured: a geometry-optimized Gd2HgI structure at the GGA-PBE level of DFT.

energy above the most stable polymorph in this dataset	0.015	eV/atom

CIF file:
```
data_Gd2HgI
_symmetry_space_group_name_H-M 'P 4/m m m'
_symmetry_Int_Tables_number 123
_symmetry_space_group_name_Hall '-P 4 2'
_cell_length_a 3.705
_cell_length_b 3.705
_cell_length_c 8.260
_cell_angle_alpha 90.00
_cell_angle_beta 90.00
_cell_angle_gamma 90.00
loop_
_atom_site_label
_atom_site_type_symbol
_atom_site_fract_x
_atom_site_fract_y
_atom_site_fract_z
Gd1 Gd 0.000 0.000 0.229
Hg1 Hg 0.500 0.500 0.000
I1 I 0.500 0.500 0.500
```

=====

[6]
Computed, not measured: a geometry-optimized GdHgI2 structure at the GGA-PBE level of DFT.

electronic total energy	-4.745	eV/atom

CIF file:
```
data_GdHgI2
_symmetry_space_group_name_H-M 'R -3 m'
_symmetry_Int_Tables_number 166
_symmetry_space_group_name_Hall '-R 3 2"'
_cell_length_a 4.3683
_cell_length_b 4.3683
_cell_length_c 37.0557
_cell_angle_alpha 90.00
_cell_angle_beta 90.00
_cell_angle_gamma 120.00
loop_
_atom_site_label
_atom_site_type_symbol
_atom_site_fract_x
_atom_site_fract_y
_atom_site_fract_z
Gd1 Gd 0.0000 0.0000 0.0000
Hg1 Hg 0.0000 0.0000 0.5000
I1 I 0.0000 0.0000 0.0764
```

=====

[7]
Computed, not measured: a geometry-optimized Gd2HgI structure at the GGA-PBE level of DFT.

energy above the most stable polymorph in this dataset	0.000	eV/atom

CIF file:
```
data_Gd2HgI
_symmetry_space_group_name_H-M 'R -3 m'
_symmetry_Int_Tables_number 166
_symmetry_space_group_name_Hall '-R 3 2"'
_cell_length_a 4.3547
_cell_length_b 4.3547
_cell_length_c 22.8246
_cell_angle_alpha 90.00
_cell_angle_beta 90.00
_cell_angle_gamma 120.00
loop_
_atom_site_label
_atom_site_type_symbol
_atom_site_fract_x
_atom_site_fract_y
_atom_site_fract_z
Gd1 Gd 0.0000 0.0000 0.2407
Hg1 Hg 0.0000 0.0000 0.5000
I1 I 0.0000 0.0000 0.0000
```

=====

[8]
Computed, not measured: a geometry-optimized GdInHg structure at the GGA-PBE level of DFT.

DFT formation energy	-0.449	eV/atom

CIF file:
```
data_GdInHg
_symmetry_space_group_name_H-M 'P -6 m 2'
_symmetry_Int_Tables_number 187
_symmetry_space_group_name_Hall 'P -6 2'
_cell_length_a 4.9436
_cell_length_b 4.9436
_cell_length_c 3.5872
_cell_angle_alpha 90.00
_cell_angle_beta 90.00
_cell_angle_gamma 120.00
loop_
_atom_site_label
_atom_site_type_symbol
_atom_site_fract_x
_atom_site_fract_y
_atom_site_fract_z
Gd1 Gd 0.0000 0.0000 0.0000
In1 In 0.3333 0.6667 0.5000
Hg1 Hg 0.6667 0.3333 0.5000
```

=====

no.,magnetization (Bohr magnetons per cell),ρ (Mg/m³)
1,30.1,10.1
2,28.5,11.3
3,31.7,11.3
4,30.7,9.9
5,15.4,9.4
6,22.8,5.0
7,43.4,8.5
8,7.4,10.3